# 1
First-principles (GGA-PBE) data for a relaxed structure of K8RbO2, as listed in Alexandria.

Cell lengths 12.3021, 12.3021, 5.5593 Å; angles 92.52, 92.52, 139.46 degrees
Element x y z (fractional)
K  0.0903  0.4450  0.5246
K  0.1468  0.1468  0.3004
K  0.2293  0.7707  0.0000
K  0.4450  0.0903  0.5246
K  0.5550  0.9097  0.4754
K  0.7707  0.2293  0.0000
K  0.8532  0.8532  0.6996
K  0.9097  0.5550  0.4754
Rb  0.5000  0.5000  0.0000
O  0.2441  0.7559  0.5000
O  0.7559  0.2441  0.5000

---

# 2
First-principles (GGA-PBE) data for a relaxed structure of K12Rb5O2, as listed in Alexandria.

Cell lengths 12.4945, 12.4945, 10.7647 Å; angles 112.07, 112.07, 56.76 degrees
Element x y z (fractional)
K  0.0178  0.0178  0.2069
K  0.0526  0.6599  0.3217
K  0.2365  0.6519  0.8263
K  0.3286  0.3286  0.0233
K  0.3401  0.9474  0.6783
K  0.3481  0.7635  0.1737
K  0.6519  0.2365  0.8263
K  0.6599  0.0526  0.3217
K  0.6714  0.6714  0.9767
K  0.7635  0.3481  0.1737
K  0.9474  0.3401  0.6783
K  0.9822  0.9822  0.7931
Rb  0.1220  0.1220  0.0581
Rb  0.2732  0.2732  0.5039
Rb  0.5000  0.5000  0.5000
Rb  0.7268  0.7268  0.4961
Rb  0.8780  0.8780  0.9419
O  0.1396  0.8604  0.0000
O  0.8604  0.1396  0.0000

---

# 3
First-principles (GGA-PBE) data for a relaxed structure of K2RbO, as listed in Alexandria.

Cell lengths 7.6224, 7.6198, 5.7851 Å; angles 90.00, 90.09, 90.00 degrees
Element x y z (fractional)
K  0.2494  0.0000  0.4987
K  0.2506  0.5000  0.5013
K  0.7494  0.5000  0.4987
K  0.7506  0.0000  0.5013
Rb  0.0000  0.2519  0.0000
Rb  0.5000  0.7519  0.0000
O  0.0000  0.2506  0.5000
O  0.5000  0.7506  0.5000

---

# 4
First-principles (GGA-PBE) data for a relaxed structure of K4RbO2, as listed in Alexandria.

Cell lengths 9.7775, 9.7775, 7.7118 Å; angles 113.19, 113.19, 109.46 degrees
Element x y z (fractional)
K  0.0606  0.5417  0.1176
K  0.0736  0.9264  0.5000
K  0.5280  0.6759  0.6023
K  0.5417  0.0606  0.6176
K  0.6759  0.5280  0.1023
K  0.6992  0.9010  0.2844
K  0.9010  0.6992  0.7844
K  0.9264  0.0736  0.0000
Rb  0.0944  0.5067  0.5411
Rb  0.5067  0.0944  0.0411
O  0.3006  0.8009  0.5742
O  0.7915  0.8097  0.5498
O  0.8009  0.3006  0.0742
O  0.8097  0.7915  0.0498

---

# 5
First-principles (GGA-PBE) data for a relaxed structure of K3RbO, as listed in Alexandria.

Cell lengths 8.3579, 8.5833, 8.6854 Å; angles 73.07, 61.27, 62.80 degrees
Element x y z (fractional)
K  0.1502  0.3466  0.3441
K  0.2431  0.2459  0.7512
K  0.3491  0.6537  0.6558
K  0.6509  0.3463  0.3442
K  0.7569  0.7541  0.2488
K  0.8498  0.6534  0.6559
Rb  0.2581  0.7691  0.2319
Rb  0.7419  0.2309  0.7681
O  0.2497  0.5002  0.5000
O  0.7503  0.4998  0.5000

---

# 6
First-principles (GGA-PBE) data for a relaxed structure of K2Rb2O3, as listed in Alexandria.

Cell lengths 8.3807, 8.3807, 11.3858 Å; angles 119.48, 119.48, 30.09 degrees
Element x y z (fractional)
K  0.0380  0.0380  0.2632
K  0.4171  0.4171  0.3487
K  0.5829  0.5829  0.6513
K  0.9620  0.9620  0.7368
Rb  0.2293  0.2293  0.6123
Rb  0.3426  0.3426  0.0070
Rb  0.6574  0.6574  0.9930
Rb  0.7707  0.7707  0.3877
O  0.0491  0.0491  0.0271
O  0.1519  0.1519  0.8026
O  0.3853  0.3853  0.5647
O  0.6147  0.6147  0.4353
O  0.8481  0.8481  0.1974
O  0.9509  0.9509  0.9729

---

# 7
First-principles (GGA-PBE) data for a relaxed structure of K3RbO, as listed in Alexandria.

Cell lengths 5.8807, 5.8807, 5.8807 Å; angles 90.00, 90.00, 90.00 degrees
Element x y z (fractional)
K  0.0000  0.0000  0.5000
K  0.0000  0.5000  0.0000
K  0.5000  0.0000  0.0000
Rb  0.5000  0.5000  0.5000
O  0.0000  0.0000  0.0000

---

# 8
First-principles (GGA-PBE) data for a relaxed structure of K2RbO, as listed in Alexandria.

Cell lengths 8.3095, 8.3095, 11.8143 Å; angles 90.00, 90.00, 90.00 degrees
Element x y z (fractional)
K  0.0000  0.0000  0.0000
K  0.0000  0.5000  0.0000
K  0.2500  0.2500  0.7500
K  0.2500  0.7500  0.2500
K  0.5000  0.0000  0.5000
K  0.5000  0.5000  0.5000
K  0.7500  0.2500  0.7500
K  0.7500  0.7500  0.2500
Rb  0.0000  0.2500  0.3750
Rb  0.0000  0.7500  0.6250
Rb  0.5000  0.2500  0.1250
Rb  0.5000  0.7500  0.8750
O  0.0000  0.2500  0.8750
O  0.0000  0.7500  0.1250
O  0.5000  0.2500  0.6250
O  0.5000  0.7500  0.3750

---

Number 1: uncorrected energy -2.26 eV/atom. Number 2: uncorrected energy -1.73 eV/atom. Number 3: uncorrected energy -2.74 eV/atom. Number 4: uncorrected energy -2.98 eV/atom. Number 5: uncorrected energy -2.45 eV/atom. Number 6: uncorrected energy -3.66 eV/atom. Number 7: uncorrected energy -2.26 eV/atom. Number 8: uncorrected energy -2.62 eV/atom.